Here is an optimized crystal structure of RbIr2I from the Alexandria database. Energies are from PBE.

Summary:
**Relative energy among the computed polymorphs**: 0 meV/atom
**Energy relative to the elements, uncorrected**: 2.78 eV/f.u.
**SG**: I-42d, No. 122

```
RbIr2I
1.0
-1.798 -4.973 -0.154
4.945 -1.805 0.534
0.657 -3.327 8.881
I Ir Rb
2 4 2
direct
0.000 0.000 0.000
0.750 0.250 0.500
0.902 0.125 0.250
0.848 0.625 0.250
0.375 0.098 0.750
0.875 0.152 0.750
0.500 0.500 0.000
0.250 0.750 0.500
```